(1)
Compound: Pu2HgP
Source: Alexandria via LeMat-Bulk
Functional: PBE
Structure: optimized geometry

Summary:
Total DFT energy (no corrections), eV per cell: -36.43
Total magnetization, μB per cell: 11.432
Formation energy from the elements, meV per atom: -512

Cell: 3.7933 3.7933 8.6082 Å, 77.27 77.27 60.00°
Last column: nearest neighbours and their distance in Å.
Fractional coordinates of all 4 atoms:
Hg: 0.5003 0.5003 0.4992  6 Pu 3.28-3.29
Pu: 0.0685 0.0685 0.7945  3 P 2.78
Pu: 0.2648 0.2648 0.2055  3 P 2.77
P: 0.6664 0.6664 0.0009  6 Pu 2.77-2.78

=====

(2)
Compound: Na2ThCdS4
Source: Alexandria via LeMat-Bulk
Functional: PBE
Structure: optimized geometry

Summary:
Total DFT energy (no corrections), eV per cell: -38.30
Total magnetization, μB per cell: 0.000
ΔE_f (raw), meV per atom: -1352

Cell: 4.0808 6.8557 7.1652 Å, 109.81 90.00 90.00°
Last column: nearest neighbours and their distance in Å.
Fractional coordinates of all 8 atoms:
S: 0.5000 0.2378 0.2230  2 Cd 2.76, 1 Th 2.78, 3 Na 2.96-2.99
S: 0.0000 0.2641 0.7615  2 Th 2.80, 3 Na 2.86-2.94, 1 Cd 2.88
S: 0.5000 0.7622 0.7770  2 Cd 2.76, 1 Th 2.78, 3 Na 2.96-2.99
S: 0.0000 0.7359 0.2385  2 Th 2.80, 3 Na 2.86-2.94, 1 Cd 2.88
Cd: 0.0000 0.0000 0.0000  6 S 2.76-2.88
Na: 0.0000 0.5000 0.5000  6 S 2.86-2.99
Na: 0.5000 0.0000 0.5000  6 S 2.94-2.96
Th: 0.5000 0.5000 0.0000  6 S 2.78-2.80

=====

(3)
Compound: Tb3ReN6
Source: Alexandria via LeMat-Bulk
Functional: PBE
Structure: optimized geometry

Summary:
Total DFT energy (no corrections), eV per cell: -169.40
Total magnetization, μB per cell: 0.854
ΔE_f (raw), meV per atom: -841

Cell: 5.3171 7.6071 7.6071 Å, 103.20 90.00 90.00°
Last column: nearest neighbours and their distance in Å.
Fractional coordinates of all 20 atoms:
Tb: 0.9746 0.7018 0.9143  5 N 2.29-2.49
Tb: 0.4415 0.3956 0.6044  7 N 2.37-2.60
Tb: 0.9746 0.0857 0.2982  5 N 2.29-2.49
Tb: 0.4746 0.2982 0.0857  5 N 2.29-2.49
Tb: 0.4746 0.9143 0.7018  5 N 2.29-2.49
Tb: 0.9415 0.6044 0.3956  7 N 2.37-2.60
N: 0.7102 0.3306 0.3498  4 Tb 2.29-2.38
N: 0.2102 0.3498 0.3306  4 Tb 2.29-2.38
N: 0.1696 0.1082 0.5851  1 Re 1.82
N: 0.1755 0.7917 0.2083  1 Re 1.84
N: 0.2102 0.6694 0.6502  4 Tb 2.29-2.38
N: 0.6696 0.8918 0.4149  1 Re 1.82
N: 0.1395 0.0526 0.9474  1 Re 1.83
N: 0.1696 0.4149 0.8918  1 Re 1.82
N: 0.6395 0.9474 0.0526  1 Re 1.83
N: 0.7102 0.6502 0.6694  4 Tb 2.29-2.38
N: 0.6696 0.5851 0.1082  1 Re 1.82
N: 0.6755 0.2083 0.7917  1 Re 1.84
Re: 0.0202 0.1967 0.8033  4 N 1.82-1.84
Re: 0.5202 0.8033 0.1967  4 N 1.82-1.84

=====

(4)
Compound: Li3HgF
Source: Alexandria via LeMat-Bulk
Functional: PBE
Structure: optimized geometry

Summary:
Total DFT energy (no corrections), eV per cell: -14.14
Total magnetization, μB per cell: 0.000
ΔE_f (raw), meV per atom: -1246

Cell: 4.1434 4.1434 4.1434 Å, 90.00 90.00 90.00°
Last column: nearest neighbours and their distance in Å.
Fractional coordinates of all 5 atoms:
Hg: 0.5000 0.5000 0.5000  12 Li 2.93
Li: 0.0000 0.0000 0.5000  2 F 2.07
Li: 0.5000 0.0000 0.0000  2 F 2.07
Li: 0.0000 0.5000 0.0000  2 F 2.07
F: 0.0000 0.0000 0.0000  6 Li 2.07

=====

Table of mass density (g/cm³), in record order: 11.5; 4.6; 8.3; 5.6